First-principles (PBE-GGA) data for an optimized crystal structure of Pt4W3, as listed in Alexandria via LeMat-Bulk.

Output
Space group   No. 191
E above lowest polymorph   134.2 meV per atom

Cell: 5.1352 5.1352 5.0094 Å, 90.00 90.00 120.00°
With the nearest neighbours (Å) after each atom.
Element x y z (fractional)
Pt (0.0000, 0.0000, 0.2539)  2 Pt 2.47-2.54
Pt (0.0000, 0.0000, 0.7461)  2 Pt 2.47-2.54
Pt (0.6667, 0.3333, 0.5000)  6 W 2.91, 9 Pt 2.96-3.21
Pt (0.3333, 0.6667, 0.5000)  6 W 2.91, 9 Pt 2.96-3.21
W (0.0000, 0.5000, 0.0000)  4 W 2.57, 4 Pt 2.87
W (0.5000, 0.5000, 0.0000)  4 W 2.57, 4 Pt 2.87
W (0.5000, 0.0000, 0.0000)  4 W 2.57, 4 Pt 2.87